Li6TlCu: relaxed, PBE-GGA.

a = 4.522 Å, b = 4.522 Å, c = 6.238 Å
α = 90.00°, β = 90.00°, γ = 90.00°
Element x y z (fractional)
Li 0.000 0.000 0.000
Li 0.000 0.500 0.234
Li 0.000 0.500 0.766
Li 0.500 0.000 0.234
Li 0.500 0.000 0.766
Li 0.500 0.500 0.500
Tl 0.000 0.000 0.500
Cu 0.500 0.500 0.000

## Properties
E_tot	-0.1684	Ry per atom